The following is a PBE-GGA calculation of an optimized crystal structure of LaBAu2, from the Alexandria database.

Values from the calculation:
Energy of formation from the pure elements   -9.2 kJ/mol of atoms
Total magnetic moment   0.000 μB per cell
E_tot   -4.636 eV/atom

a = 5.312 Å, b = 5.312 Å, c = 7.620 Å
α = 69.60°, β = 69.60°, γ = 90.00°
Atoms (fractional coordinates):
La1 0.750 0.250 0.500
La2 0.000 0.000 0.000
Au1 0.875 0.728 0.750
Au2 0.375 0.522 0.750
Au3 0.272 0.625 0.250
Au4 0.478 0.125 0.250
B1 0.250 0.750 0.500
B2 0.500 0.500 0.000